Entry 1:
Computed, not measured: KRb2CuHg after structural relaxation at the PBE level of DFT.

a b c (Å): 6.7395 6.7395 5.2867
angles (deg): 90.00 90.00 90.00
Closest atoms and distances in Å follow each position.
Fractional coordinates of all 5 atoms:
Cu 0.0000 0.0000 0.0000  2 Hg 2.64
Hg 0.0000 0.0000 0.5000  2 Cu 2.64
K 0.5000 0.5000 0.5000  8 Rb 4.28, 4 Hg 4.77
Rb 0.5000 0.0000 0.0000  2 Cu 3.37
Rb 0.0000 0.5000 0.0000  2 Cu 3.37

## Properties
Its mass density is 3.3 g/cm3. The density of states at the Fermi level comes out at 0.7760 states/eV per atom. As for the total magnetization: 0.0 μB/f.u. The value obtained for the formation energy from the elements is 112 meV/atom. Its space group is P4/mmm, No. 123.

---

Entry 2:
Computed, not measured: AcAl2PtO8 after structural relaxation at the PBE level of DFT.

a b c (Å): 4.4339 4.5560 7.3867
angles (deg): 95.45 90.27 88.35
Closest atoms and distances in Å follow each position.
Fractional coordinates of all 12 atoms:
O 0.7863 0.1832 0.7964  1 Al 1.85, 1 Pt 2.01
O 0.5097 0.3730 0.5579  1 O 1.50
O 0.2005 0.7633 0.7801  1 Al 1.84, 1 Pt 2.05
O 0.2137 0.8168 0.2036  1 Al 1.85, 1 Pt 2.01
O 0.3022 0.3070 0.9991  2 Al 1.83-1.85, 1 Pt 1.97
O 0.6978 0.6930 0.0009  2 Al 1.83-1.85, 1 Pt 1.97
O 0.7995 0.2367 0.2199  1 Al 1.84, 1 Pt 2.05
O 0.4903 0.6270 0.4421  1 O 1.50
Al 0.5066 0.5178 0.1823  5 O 1.83-1.94
Al 0.4934 0.4822 0.8177  5 O 1.83-1.94
Pt 0.0000 0.0000 0.0000  6 O 1.97-2.05
Ac 0.0000 0.0000 0.5000  6 O 2.45-2.73

## Properties
Its mass density is 6.8 g/cm3. The density of states at the Fermi level comes out at 0.4391 states/eV per atom. As for the total magnetization: 0.0 μB/f.u. The uncorrected formation energy is -1902.9 meV per atom. Its space group is P-1, No. 2.